# AlAs2IBr

A geometry-optimized AlAs2IBr structure (PBE-GGA, Alexandria via LeMat-Bulk).

**Formation energy (no corrections)**: 1.02 eV per atom

CIF file:
```
data_AlAs2IBr
_cell_length_a 5.4643
_cell_length_b 5.4643
_cell_length_c 5.8569
_cell_angle_alpha 90.00
_cell_angle_beta 90.00
_cell_angle_gamma 90.00
_space_group_name_H-M_alt 'P 1'
_space_group_IT_number 1
_space_group_name_Hall 'P 1'
loop_
_atom_site_label
_atom_site_fract_x
_atom_site_fract_y
_atom_site_fract_z
Br1 0.0000 0.0000 0.5000
As1 0.5000 0.0000 0.0000
I1 0.0000 0.0000 0.0000
As2 0.0000 0.5000 0.0000
Al1 0.5000 0.5000 0.5000
```



# AlAsIBr2

A geometry-optimized AlAsIBr2 structure (PBE-GGA, Alexandria via LeMat-Bulk).

**Formation energy (no corrections)**: -0.09 eV per atom

CIF file:
```
data_AlAsIBr2
_cell_length_a 4.8697
_cell_length_b 4.8697
_cell_length_c 5.7583
_cell_angle_alpha 90.00
_cell_angle_beta 90.00
_cell_angle_gamma 90.00
_space_group_name_H-M_alt 'P 1'
_space_group_IT_number 1
_space_group_name_Hall 'P 1'
loop_
_atom_site_label
_atom_site_fract_x
_atom_site_fract_y
_atom_site_fract_z
Br1 0.0000 0.5000 0.0000
As1 0.0000 0.0000 0.5000
Al1 0.0000 0.0000 0.0000
Br2 0.5000 0.0000 0.0000
I1 0.5000 0.5000 0.5000
```



# AlAs2IrBr

A geometry-optimized AlAs2IrBr structure (PBE-GGA, Alexandria via LeMat-Bulk).

**Formation energy (no corrections)**: 0.50 eV per atom

CIF file:
```
data_AlAs2IrBr
_cell_length_a 4.7643
_cell_length_b 4.7643
_cell_length_c 5.5853
_cell_angle_alpha 90.00
_cell_angle_beta 90.00
_cell_angle_gamma 90.00
_space_group_name_H-M_alt 'P 1'
_space_group_IT_number 1
_space_group_name_Hall 'P 1'
loop_
_atom_site_label
_atom_site_fract_x
_atom_site_fract_y
_atom_site_fract_z
As1 0.0000 0.5000 0.0000
As2 0.5000 0.0000 0.0000
Br1 0.0000 0.0000 0.5000
Ir1 0.0000 0.0000 0.0000
Al1 0.5000 0.5000 0.5000
```



For each record above, in turn, the calculated mass density values are 3.64 4.73 5.88 g/cm³.
For each record above, in turn, the calculated total magnetization values are 0.85 0.00 0.00 μB/f.u..
For each record above, in turn, the calculated energy relative to the lowest polymorph listed for this composition values are 0.733 0.000 0.000 eV per atom.